! BeNiSe2 PBE relaxed; values from VASP
! Calculated volume (Å³ per atom): 16.3
! Magnetic moment (μB/cell): 0.00
! ΔE_f (raw) (kJ/mol of formula units): 43
&SYSTEM
  ibrav = 0, nat = 4, ntyp = 3
/
ATOMIC_SPECIES
Se 78.96 Se.upf
Be 9.01 Be.upf
Ni 58.69 Ni.upf
CELL_PARAMETERS angstrom
-1.047 1.333 -4.079
-3.483 -0.595 2.643
-2.229 3.702 0.886
ATOMIC_POSITIONS crystal
Se 0.500 0.000 0.500
Se 0.000 0.000 0.000
Be 0.000 0.500 0.500
Ni 0.500 0.500 0.000


! Hf3Mo PBE relaxed; values from VASP
! Energy of formation from the pure elements (eV per atom): -0.032
! Calculated volume (Å³ per atom): 20.5
! Magnetic moment (μB/cell): 0.00
! Energy above the lowest structure with this stoichiometry (meV/atom): 0
&SYSTEM
  ibrav = 0, nat = 4, ntyp = 2
/
ATOMIC_SPECIES
Mo 95.94 Mo.upf
Hf 178.49 Hf.upf
CELL_PARAMETERS angstrom
-0.937 -2.580 2.006
3.815 0.878 2.911
-4.198 3.940 0.226
ATOMIC_POSITIONS crystal
Mo 0.000 0.924 0.000
Hf 0.718 0.131 0.436
Hf 0.282 0.695 0.564
Hf 0.500 0.416 0.000


! Pr4BNCl2 PBE relaxed; values from VASP
! Calculated volume (Å³ per atom): 23.0
! Magnetic moment (μB/cell): 0.00
! ΔE_f (raw) (kJ/mol of formula units): -927
&SYSTEM
  ibrav = 0, nat = 8, ntyp = 4
/
ATOMIC_SPECIES
Cl 35.45 Cl.upf
Pr 140.91 Pr.upf
N 14.01 N.upf
B 10.81 B.upf
CELL_PARAMETERS angstrom
3.868 0.000 0.000
0.000 6.578 0.077
0.000 -2.371 7.206
ATOMIC_POSITIONS crystal
Cl 0.000 0.500 0.500
Cl 0.500 0.000 0.500
Pr 0.000 0.744 0.197
Pr 0.500 0.224 0.192
Pr 0.500 0.776 0.808
Pr 0.000 0.256 0.803
N 0.000 0.000 0.000
B 0.500 0.500 0.000


! DyTl4Br7 PBE relaxed; values from VASP
! Calculated volume (Å³ per atom): 38.8
! Magnetic moment (μB/cell): 0.00
! ΔE_f (raw) (kJ/mol of formula units): -1361
&SYSTEM
  ibrav = 0, nat = 12, ntyp = 3
/
ATOMIC_SPECIES
Tl 204.38 Tl.upf
Br 79.90 Br.upf
Dy 162.50 Dy.upf
CELL_PARAMETERS angstrom
5.241 0.000 -1.712
-1.350 6.651 -4.135
0.914 1.992 11.678
ATOMIC_POSITIONS crystal
Tl 0.693 0.133 0.385
Tl 0.307 0.867 0.615
Tl 0.416 0.469 0.831
Tl 0.584 0.531 0.169
Br 0.277 0.224 0.553
Br 0.075 0.798 0.151
Br 0.925 0.202 0.849
Br 0.110 0.321 0.220
Br 0.723 0.776 0.447
Br 0.890 0.679 0.780
Br 0.500 0.000 0.000
Dy 0.000 0.000 0.000


! PuAgBiO PBE relaxed; values from VASP
! Calculated volume (Å³ per atom): 21.6
! Magnetic moment (μB/cell): 5.54
! ΔE_f (raw) (kJ/mol of formula units): -397
&SYSTEM
  ibrav = 0, nat = 4, ntyp = 4
/
ATOMIC_SPECIES
Bi 208.98 Bi.upf
Ag 107.87 Ag.upf
O 16.00 O.upf
Pu 244.00 Pu.upf
CELL_PARAMETERS angstrom
3.377 0.000 0.000
0.000 3.377 0.000
-1.689 -1.689 7.565
ATOMIC_POSITIONS crystal
Bi 0.571 0.571 0.141
Ag 0.202 0.202 0.403
O 0.362 0.362 0.723
Pu 0.878 0.878 0.757


! TlCuOs PBE relaxed; values from VASP
! Energy of formation from the pure elements (eV per atom): 0.850
! Calculated volume (Å³ per atom): 17.0
! Magnetic moment (μB/cell): 0.00
! Energy above the lowest structure with this stoichiometry (meV/atom): 18
&SYSTEM
  ibrav = 0, nat = 3, ntyp = 3
/
ATOMIC_SPECIES
Tl 204.38 Tl.upf
Os 190.23 Os.upf
Cu 63.55 Cu.upf
CELL_PARAMETERS angstrom
5.230 -0.009 0.002
2.998 4.286 -0.002
-3.736 -2.866 2.277
ATOMIC_POSITIONS crystal
Tl 0.668 0.668 0.000
Os 0.359 0.359 0.000
Cu 0.973 0.973 0.000


! RbTl2Cu PBE relaxed; values from VASP
! Energy of formation from the pure elements (eV per atom): 0.218
! Calculated volume (Å³ per atom): 40.9
! Magnetic moment (μB/cell): 0.00
&SYSTEM
  ibrav = 0, nat = 8, ntyp = 3
/
ATOMIC_SPECIES
Rb 85.47 Rb.upf
Tl 204.38 Tl.upf
Cu 63.55 Cu.upf
CELL_PARAMETERS angstrom
-1.211 1.465 5.978
0.679 -6.024 1.614
7.850 -1.007 5.129
ATOMIC_POSITIONS crystal
Rb 0.000 0.000 0.000
Rb 0.750 0.250 0.500
Tl 0.875 0.678 0.750
Tl 0.428 0.125 0.250
Tl 0.322 0.625 0.250
Tl 0.375 0.572 0.750
Cu 0.500 0.500 0.000
Cu 0.250 0.750 0.500


! Nd2Ir9Pt PBE relaxed; values from VASP
! Energy of formation from the pure elements (eV per atom): -0.096
! Calculated volume (Å³ per atom): 17.9
! Magnetic moment (μB/cell): 0.00
&SYSTEM
  ibrav = 0, nat = 12, ntyp = 3
/
ATOMIC_SPECIES
Nd 144.24 Nd.upf
Ir 192.22 Ir.upf
Pt 195.08 Pt.upf
CELL_PARAMETERS angstrom
-3.122 -3.350 -2.648
1.935 -2.754 -4.081
1.934 -8.559 3.265
ATOMIC_POSITIONS crystal
Nd 0.135 0.135 0.595
Nd 0.865 0.865 0.405
Ir 0.419 0.419 0.244
Ir 0.581 0.082 0.756
Ir 0.667 0.667 0.000
Ir 0.419 0.918 0.244
Ir 0.581 0.581 0.756
Ir 0.082 0.581 0.756
Ir 0.918 0.419 0.244
Ir 0.500 0.500 0.500
Ir 0.333 0.333 0.000
Pt 0.000 0.000 0.000


! BaI3F PBE relaxed; values from VASP
! Calculated volume (Å³ per atom): 63.7
! Magnetic moment (μB/cell): 2.00
! Energy above the lowest structure with this stoichiometry (meV/atom): 289
! ΔE_f (raw) (kJ/mol of formula units): -330
&SYSTEM
  ibrav = 0, nat = 5, ntyp = 3
/
ATOMIC_SPECIES
I 126.90 I.upf
F 19.00 F.upf
Ba 137.33 Ba.upf
CELL_PARAMETERS angstrom
-3.933 2.112 5.167
4.197 -3.048 4.441
3.680 5.734 0.457
ATOMIC_POSITIONS crystal
I 0.500 0.000 0.000
I 0.000 0.500 0.000
I 0.000 0.000 0.500
F 0.500 0.500 0.500
Ba 0.000 0.000 0.000


! YIn3Si PBE relaxed; values from VASP
! Calculated volume (Å³ per atom): 38.4
! Magnetic moment (μB/cell): 0.00
! Energy above the lowest structure with this stoichiometry (meV/atom): 717
! ΔE_f (raw) (kJ/mol of formula units): 487
&SYSTEM
  ibrav = 0, nat = 5, ntyp = 3
/
ATOMIC_SPECIES
In 114.82 In.upf
Si 28.09 Si.upf
Y 88.91 Y.upf
CELL_PARAMETERS angstrom
-2.875 3.818 -3.233
-4.508 -3.594 -0.234
-2.168 2.409 4.774
ATOMIC_POSITIONS crystal
In 0.500 0.000 0.000
In 0.000 0.500 0.000
In 0.000 0.000 0.500
Si 0.500 0.500 0.500
Y 0.000 0.000 0.000


! RbCrAs2 PBE relaxed; values from VASP
! Energy of formation from the pure elements (eV per atom): -0.121
! Calculated volume (Å³ per atom): 25.0
! Magnetic moment (μB/cell): 2.29
! Energy above the lowest structure with this stoichiometry (meV/atom): 27
&SYSTEM
  ibrav = 0, nat = 4, ntyp = 3
/
ATOMIC_SPECIES
As 74.92 As.upf
Rb 85.47 Rb.upf
Cr 52.00 Cr.upf
CELL_PARAMETERS angstrom
3.966 0.000 0.000
1.983 3.435 0.000
1.983 1.145 7.355
ATOMIC_POSITIONS crystal
As 0.716 0.716 0.852
As 0.284 0.284 0.148
Rb 0.500 0.500 0.500
Cr 0.000 0.000 0.000


! Ho2CoRh PBE relaxed; values from VASP
! Energy of formation from the pure elements (eV per atom): -0.523
! Calculated volume (Å³ per atom): 19.2
! Magnetic moment (μB/cell): 0.52
! Energy above the lowest structure with this stoichiometry (meV/atom): 15
&SYSTEM
  ibrav = 0, nat = 4, ntyp = 3
/
ATOMIC_SPECIES
Ho 164.93 Ho.upf
Rh 102.91 Rh.upf
Co 58.93 Co.upf
CELL_PARAMETERS angstrom
-0.979 -0.817 4.593
-3.552 -2.948 1.192
0.975 -4.251 1.925
ATOMIC_POSITIONS crystal
Ho 0.750 0.750 0.750
Ho 0.250 0.250 0.250
Rh 0.000 0.000 0.000
Co 0.500 0.500 0.500


Question: Look up the calculated volume of the third one.
Answer: 23.0 Å³ per atom